one | Ho4AgHg3 after structural relaxation. Source: the Alexandria database, functional PBE.

Summary:
SG: P4/mmm (123)
DOS at the Fermi energy in states/eV/atom: 0.662

Cell lengths 3.678, 3.678, 14.781 Å; angles 90.00, 90.00, 90.00 degrees
Fractional positions:
Ho 0.000 0.000 0.120
Ho 0.000 0.000 0.373
Ho 0.000 0.000 0.627
Ho 0.000 0.000 0.880
Ag 0.500 0.500 0.000
Hg 0.500 0.500 0.247
Hg 0.500 0.500 0.500
Hg 0.500 0.500 0.753

=====

two | Ho4AgHg3 after structural relaxation. Source: the Alexandria database, functional PBE.

Summary:
SG: Pmm2 (25)
DOS at the Fermi energy in states/eV/atom: 0.993

Cell lengths 3.752, 4.798, 11.424 Å; angles 90.00, 90.00, 90.00 degrees
Fractional positions:
Ho 0.000 0.000 0.000
Ho 0.000 0.500 0.286
Ho 0.500 0.000 0.491
Ho 0.500 0.500 0.791
Ag 0.500 0.000 0.225
Hg 0.000 0.000 0.729
Hg 0.000 0.500 0.555
Hg 0.500 0.500 0.061

=====

Relative energy table, unit meV per atom: one 0; two 45

=====

one | Ho3AgHg4 after structural relaxation. Source: the Alexandria database, functional PBE.

Summary:
SG: P-1 (2)
DOS at the Fermi energy in states/eV/atom: 0.658

Cell lengths 3.948, 4.503, 11.546 Å; angles 82.34, 83.27, 88.28 degrees
Fractional positions:
Ho 0.000 0.000 0.000
Ho 0.402 0.907 0.286
Ho 0.598 0.093 0.714
Ag 0.500 0.500 0.000
Hg 0.062 0.552 0.809
Hg 0.209 0.713 0.554
Hg 0.791 0.287 0.446
Hg 0.938 0.448 0.191

=====

two | Ho3AgHg4 after structural relaxation. Source: the Alexandria database, functional PBE.

Summary:
SG: Immm (71)
DOS at the Fermi energy in states/eV/atom: 0.543

Cell lengths 7.952, 7.952, 7.952 Å; angles 153.83, 109.36, 76.77 degrees
Fractional positions:
Ho 0.000 0.000 0.000
Ho 0.296 0.796 0.500
Ho 0.704 0.204 0.500
Ag 0.500 0.500 0.000
Hg 0.107 0.373 0.733
Hg 0.360 0.627 0.733
Hg 0.640 0.373 0.267
Hg 0.893 0.627 0.267

=====

Relative energy table, unit meV per atom: one 14; two 0

=====

one | Ho2Ag3Hg after structural relaxation. Source: the Alexandria database, functional PBE.

Summary:
SG: Fmmm (69)
DOS at the Fermi energy in states/eV/atom: 0.580

Cell lengths 9.669, 9.009, 5.858 Å; angles 77.98, 65.69, 36.34 degrees
Fractional positions:
Ho 0.248 0.752 0.752
Ho 0.250 0.250 0.250
Ho 0.750 0.750 0.750
Ho 0.752 0.248 0.248
Ag 0.165 0.165 0.835
Ag 0.165 0.670 0.330
Ag 0.330 0.835 0.165
Ag 0.670 0.165 0.835
Ag 0.835 0.330 0.670
Ag 0.835 0.835 0.165
Hg 0.333 0.333 0.667
Hg 0.667 0.667 0.333

=====

two | Ho2Ag3Hg after structural relaxation. Source: the Alexandria database, functional PBE.

Summary:
SG: Imm2 (44)
DOS at the Fermi energy in states/eV/atom: 0.525

Cell lengths 9.783, 9.783, 9.783 Å; angles 157.13, 156.61, 32.94 degrees
Fractional positions:
Ho 0.000 0.000 0.000
Ho 0.738 0.238 0.500
Ag 0.166 0.666 0.500
Ag 0.313 0.813 0.500
Ag 0.570 0.570 0.000
Hg 0.417 0.417 0.000

=====

Relative energy table, unit meV per atom: one 0; two 103

=====

one | Ho3Ag2Hg4 after structural relaxation. Source: the Alexandria database, functional PBE.

Summary:
SG: C2/m (12)
DOS at the Fermi energy in states/eV/atom: 0.514

Cell lengths 5.955, 5.955, 9.096 Å; angles 117.72, 117.72, 48.66 degrees
Fractional positions:
Ho 0.000 0.000 0.000
Ho 0.333 0.333 0.335
Ho 0.667 0.667 0.665
Ag 0.391 0.391 0.722
Ag 0.609 0.609 0.278
Hg 0.061 0.061 0.390
Hg 0.287 0.287 0.947
Hg 0.713 0.713 0.053
Hg 0.939 0.939 0.610

=====

two | Ho3Ag2Hg4 after structural relaxation. Source: the Alexandria database, functional PBE.

Summary:
SG: C2/m (12)
DOS at the Fermi energy in states/eV/atom: 0.569

Cell lengths 5.246, 5.246, 9.007 Å; angles 96.69, 96.69, 58.77 degrees
Fractional positions:
Ho 0.000 0.000 0.000
Ho 0.370 0.370 0.276
Ho 0.630 0.630 0.724
Ag 0.282 0.282 0.597
Ag 0.718 0.718 0.403
Hg 0.046 0.046 0.344
Hg 0.321 0.321 0.922
Hg 0.679 0.679 0.078
Hg 0.954 0.954 0.656

=====

Relative energy table, unit meV per atom: one 8; two 0

=====

one | LaHoAgHg after structural relaxation. Source: the Alexandria database, functional PBE.

Summary:
SG: P4mm (99)
DOS at the Fermi energy in states/eV/atom: 0.990

Cell lengths 3.724, 3.724, 7.679 Å; angles 90.00, 90.00, 90.00 degrees
Fractional positions:
La 0.000 0.000 0.000
Ho 0.000 0.000 0.489
Ag 0.500 0.500 0.276
Hg 0.500 0.500 0.722

=====

two | LaHoAgHg after structural relaxation. Source: the Alexandria database, functional PBE.

Summary:
SG: F-43m (216)
DOS at the Fermi energy in states/eV/atom: 0.662

Cell lengths 5.335, 5.335, 5.335 Å; angles 60.00, 60.00, 60.00 degrees
Fractional positions:
La 0.000 0.000 0.000
Ho 0.500 0.500 0.500
Ag 0.250 0.250 0.250
Hg 0.750 0.750 0.750

=====

Relative energy table, unit meV per atom: one 0; two 13

=====

one | Ag2HgI6 after structural relaxation. Source: the Alexandria database, functional PBE.

Summary:
SG: C2/c (15)

Cell lengths 8.971, 8.971, 12.649 Å; angles 111.91, 111.91, 80.31 degrees
Fractional positions:
Ag 0.095 0.336 0.463
Ag 0.336 0.095 0.963
Ag 0.664 0.905 0.037
Ag 0.905 0.664 0.537
Hg 0.407 0.593 0.750
Hg 0.593 0.407 0.250
I 0.092 0.110 0.742
I 0.110 0.092 0.242
I 0.222 0.649 0.526
I 0.260 0.334 0.168
I 0.334 0.260 0.668
I 0.351 0.778 0.974
I 0.649 0.222 0.026
I 0.666 0.740 0.332
I 0.740 0.666 0.832
I 0.778 0.351 0.474
I 0.890 0.908 0.758
I 0.908 0.890 0.258

=====

two | Ag2HgI6 after structural relaxation. Source: the Alexandria database, functional PBE.

Summary:
SG: C2/c (15)
DOS at the Fermi energy in states/eV/atom: 0.495

Cell lengths 9.493, 9.493, 8.320 Å; angles 97.97, 97.97, 76.01 degrees
Fractional positions:
Ag 0.146 0.323 0.428
Ag 0.323 0.146 0.928
Ag 0.677 0.854 0.072
Ag 0.854 0.677 0.572
Hg 0.378 0.622 0.750
Hg 0.622 0.378 0.250
I 0.060 0.236 0.071
I 0.126 0.628 0.440
I 0.236 0.060 0.571
I 0.251 0.463 0.917
I 0.372 0.874 0.060
I 0.463 0.251 0.417
I 0.537 0.749 0.583
I 0.628 0.126 0.940
I 0.749 0.537 0.083
I 0.764 0.940 0.429
I 0.874 0.372 0.560
I 0.940 0.764 0.929

=====

Relative energy table, unit meV per atom: one 0; two 92

=====

one | Ag2HgI after structural relaxation. Source: the Alexandria database, functional PBE.

Summary:
SG: Fm-3m (225)
DOS at the Fermi energy in states/eV/atom: 0.251

Cell lengths 5.202, 5.202, 5.202 Å; angles 60.00, 60.00, 60.00 degrees
Fractional positions:
Ag 0.250 0.250 0.250
Ag 0.750 0.750 0.750
Hg 0.000 0.000 0.000
I 0.500 0.500 0.500

=====

two | Ag2HgI after structural relaxation. Source: the Alexandria database, functional PBE.

Summary:
SG: I-42d (122)
DOS at the Fermi energy in states/eV/atom: 0.074

Cell lengths 9.841, 9.841, 9.841 Å; angles 150.15, 150.15, 42.73 degrees
Fractional positions:
Ag 0.051 0.625 0.926
Ag 0.375 0.301 0.426
Ag 0.699 0.125 0.074
Ag 0.875 0.949 0.574
Hg 0.000 0.000 0.000
Hg 0.750 0.250 0.500
I 0.250 0.750 0.500
I 0.500 0.500 0.000

=====

Relative energy table, unit meV per atom: one 106; two 0

=====

one | AgHgI3 after structural relaxation. Source: the Alexandria database, functional PBE.

Summary:
SG: Cmc2_1 (36)

Cell lengths 12.505, 12.505, 7.458 Å; angles 90.00, 90.00, 159.70 degrees
Fractional positions:
Ag 0.189 0.811 0.500
Ag 0.811 0.189 0.000
Hg 0.389 0.611 0.475
Hg 0.611 0.389 0.975
I 0.051 0.949 0.828
I 0.287 0.713 0.278
I 0.379 0.621 0.849
I 0.621 0.379 0.349
I 0.713 0.287 0.778
I 0.949 0.051 0.328

=====

two | AgHgI3 after structural relaxation. Source: the Alexandria database, functional PBE.

Summary:
SG: Pm-3m (221)
DOS at the Fermi energy in states/eV/atom: 2.011

Cell lengths 5.724, 5.724, 5.724 Å; angles 90.00, 90.00, 90.00 degrees
Fractional positions:
Ag 0.000 0.000 0.000
Hg 0.500 0.500 0.500
I 0.000 0.000 0.500
I 0.000 0.500 0.000
I 0.500 0.000 0.000

=====

Relative energy table, unit meV per atom: one 0; two 368